1.
This record from the Alexandria database describes a relaxed ErScCdTc crystal. The functional is PBE-GGA.

Calculated values
For the formation energy, the calculation gives -0.15 eV per atom. The final energy comes out at -91.0 eV/cell. For the volume, the calculation gives 330 Å³/cell.

Unit cell a=6.908 b=6.908 c=6.908 alpha=90.00 beta=90.00 gamma=90.00
Space group F-43m (No. 216)
Unique sites:
Er 0.000 0.000 0.000 [4 per cell]
Sc 0.000 0.000 0.500 [4 per cell]
Cd 0.250 0.250 0.750 [4 per cell]
Tc 0.250 0.250 0.250 [4 per cell]



2.
This record from the Alexandria database describes a relaxed LiPtIO2 crystal. The functional is PBE-GGA.

Calculated values
The calculation puts the uncorrected formation energy at 49 kJ/mol of atoms. The final energy comes out at -16.9 eV/cell. For the distance to the lowest polymorph of the same formula, the calculation gives 22.06 kcal/mol of atoms. For the volume, the calculation gives 81 Å³/cell.

Unit cell a=3.803 b=3.803 c=5.567 alpha=90.00 beta=90.00 gamma=90.00
Space group P4/mmm (No. 123)
Unique sites:
Li 0.000 0.000 0.000 [1 per cell]
Pt 0.500 0.500 0.500 [1 per cell]
I 0.000 0.000 0.500 [1 per cell]
O 0.000 0.500 0.000 [2 per cell]